(one)
# LaIn3Sn (PBE-GGA, optimized geometry)
data_LaIn3Sn
_chemical_formula_sum 'La1 In3 Sn1'
_space_group_name_H-M_alt 'P m -3 m'
_space_group_IT_number 221
_space_group_name_Hall '-P 4 2 3'
_cell_length_a 5.9985
_cell_length_b 5.9985
_cell_length_c 5.9985
_cell_angle_alpha 90.00
_cell_angle_beta 90.00
_cell_angle_gamma 90.00
loop_
_atom_site_label
_atom_site_fract_x
_atom_site_fract_y
_atom_site_fract_z
La1 0.0000 0.0000 0.0000
In1 0.0000 0.0000 0.5000
Sn1 0.5000 0.5000 0.5000
# Total moment in μB per cell: 0.000
# D(E_F) in states/eV per cell: 2.73

(two)
# LaIn3Sn (PBE-GGA, optimized geometry)
data_LaIn3Sn
_chemical_formula_sum 'La1 In3 Sn1'
_space_group_name_H-M_alt 'P m -3 m'
_space_group_IT_number 221
_space_group_name_Hall '-P 4 2 3'
_cell_length_a 5.5816
_cell_length_b 5.5816
_cell_length_c 5.5816
_cell_angle_alpha 90.00
_cell_angle_beta 90.00
_cell_angle_gamma 90.00
loop_
_atom_site_label
_atom_site_fract_x
_atom_site_fract_y
_atom_site_fract_z
La1 0.0000 0.0000 0.0000
In1 0.0000 0.5000 0.5000
Sn1 0.5000 0.5000 0.5000
# Total moment in μB per cell: 0.000
# D(E_F) in states/eV per cell: 3.39

(three)
# LaIn3Sn (PBE-GGA, optimized geometry)
data_LaIn3Sn
_chemical_formula_sum 'La2 In6 Sn2'
_space_group_name_H-M_alt 'P m m n'
_space_group_IT_number 59
_cell_length_a 5.2534
_cell_length_b 7.4099
_cell_length_c 7.3619
_cell_angle_alpha 90.00
_cell_angle_beta 90.00
_cell_angle_gamma 90.00
loop_
_space_group_symop_operation_xyz
'x,y,z'
'-x,-y,-z'
'-x+1/2,-y+1/2,z'
'x+1/2,y+1/2,-z'
'x+1/2,-y,-z'
'-x+1/2,y,z'
'-x,y+1/2,-z'
'x,-y+1/2,z'
loop_
_atom_site_label
_atom_site_fract_x
_atom_site_fract_y
_atom_site_fract_z
La1 0.2500 0.2500 0.2043
In1 0.2500 0.0550 0.7378
In2 0.2500 0.7500 0.4736
Sn1 0.2500 0.7500 0.0805
# Total moment in μB per cell: 0.000
# D(E_F) in states/eV per cell: 4.79

Unit: meV/atom. Relative energies: (one) 951; (two) 499; (three) 0.

(one)
# LaTlInSn (PBE-GGA, optimized geometry)
data_LaTlInSn
_chemical_formula_sum 'La1 Tl1 In1 Sn1'
_space_group_name_H-M_alt 'P m m m'
_space_group_IT_number 47
_cell_length_a 4.7151
_cell_length_b 4.7775
_cell_length_c 4.9914
_cell_angle_alpha 90.00
_cell_angle_beta 90.00
_cell_angle_gamma 90.00
loop_
_space_group_symop_operation_xyz
'x,y,z'
'-x,-y,-z'
'-x,-y,z'
'x,y,-z'
'x,-y,-z'
'-x,y,z'
'-x,y,-z'
'x,-y,z'
loop_
_atom_site_label
_atom_site_fract_x
_atom_site_fract_y
_atom_site_fract_z
La1 0.0000 0.0000 0.0000
Tl1 0.5000 0.0000 0.5000
In1 0.0000 0.5000 0.5000
Sn1 0.5000 0.5000 0.0000
# Total moment in μB per cell: 0.000
# D(E_F) in states/eV per cell: 2.20

(two)
# LaTlInSn (PBE-GGA, optimized geometry)
data_LaTlInSn
_chemical_formula_sum 'La4 Tl4 In4 Sn4'
_space_group_name_H-M_alt 'F -4 3 m'
_space_group_IT_number 216
_space_group_name_Hall 'F -4 2 3'
_cell_length_a 7.7572
_cell_length_b 7.7572
_cell_length_c 7.7572
_cell_angle_alpha 90.00
_cell_angle_beta 90.00
_cell_angle_gamma 90.00
loop_
_atom_site_label
_atom_site_fract_x
_atom_site_fract_y
_atom_site_fract_z
La1 0.0000 0.0000 0.0000
Tl1 0.2500 0.2500 0.2500
In1 0.0000 0.0000 0.5000
Sn1 0.2500 0.2500 0.7500
# Total moment in μB per cell: 0.001
# D(E_F) in states/eV per cell: 16.49

Unit: meV/atom. Relative energies: (one) 0; (two) 214.

(one)
# Sr3LaIn (PBE-GGA, optimized geometry)
data_Sr3LaIn
_chemical_formula_sum 'Sr3 La1 In1'
_space_group_name_H-M_alt 'P m -3 m'
_space_group_IT_number 221
_space_group_name_Hall '-P 4 2 3'
_cell_length_a 6.2047
_cell_length_b 6.2047
_cell_length_c 6.2047
_cell_angle_alpha 90.00
_cell_angle_beta 90.00
_cell_angle_gamma 90.00
loop_
_atom_site_label
_atom_site_fract_x
_atom_site_fract_y
_atom_site_fract_z
Sr1 0.0000 0.0000 0.5000
La1 0.5000 0.5000 0.5000
In1 0.0000 0.0000 0.0000
# Total moment in μB per cell: 0.003
# D(E_F) in states/eV per cell: 9.05

(two)
# Sr3LaIn (PBE-GGA, optimized geometry)
data_Sr3LaIn
_chemical_formula_sum 'Sr3 La1 In1'
_space_group_name_H-M_alt 'P m -3 m'
_space_group_IT_number 221
_space_group_name_Hall '-P 4 2 3'
_cell_length_a 6.2117
_cell_length_b 6.2117
_cell_length_c 6.2117
_cell_angle_alpha 90.00
_cell_angle_beta 90.00
_cell_angle_gamma 90.00
loop_
_atom_site_label
_atom_site_fract_x
_atom_site_fract_y
_atom_site_fract_z
Sr1 0.0000 0.0000 0.5000
La1 0.0000 0.0000 0.0000
In1 0.5000 0.5000 0.5000
# Total moment in μB per cell: 0.004
# D(E_F) in states/eV per cell: 6.30

Unit: meV/atom. Relative energies: (one) 0; (two) 517.

(one)
# SrLaIn4 (PBE-GGA, optimized geometry)
data_SrLaIn4
_chemical_formula_sum 'Sr4 La4 In16'
_space_group_name_H-M_alt 'F -4 3 m'
_space_group_IT_number 216
_space_group_name_Hall 'F -4 2 3'
_cell_length_a 8.8015
_cell_length_b 8.8015
_cell_length_c 8.8015
_cell_angle_alpha 90.00
_cell_angle_beta 90.00
_cell_angle_gamma 90.00
loop_
_atom_site_label
_atom_site_fract_x
_atom_site_fract_y
_atom_site_fract_z
Sr1 0.0000 0.0000 0.0000
La1 0.2500 0.2500 0.2500
In1 0.1248 0.1248 0.6248
# Total moment in μB per cell: 0.000
# D(E_F) in states/eV per cell: 14.88

(two)
# SrLaIn4 (PBE-GGA, optimized geometry)
data_SrLaIn4
_chemical_formula_sum 'Sr2 La2 In8'
_space_group_name_H-M_alt 'I m m 2'
_space_group_IT_number 44
_cell_length_a 4.9157
_cell_length_b 7.8319
_cell_length_c 9.1861
_cell_angle_alpha 90.00
_cell_angle_beta 90.00
_cell_angle_gamma 90.00
loop_
_space_group_symop_operation_xyz
'x,y,z'
'-x,-y,z'
'-x,y,z'
'x,-y,z'
'x+1/2,y+1/2,z+1/2'
'-x+1/2,-y+1/2,z+1/2'
'-x+1/2,y+1/2,z+1/2'
'x+1/2,-y+1/2,z+1/2'
loop_
_atom_site_label
_atom_site_fract_x
_atom_site_fract_y
_atom_site_fract_z
Sr1 0.0000 0.0000 0.0000
La1 0.0000 0.5000 0.1053
In1 0.0000 0.1979 0.3946
In2 0.0000 0.3022 0.7165
# Total moment in μB per cell: 0.000
# D(E_F) in states/eV per cell: 7.45

Unit: meV/atom. Relative energies: (one) 45; (two) 0.

(one)
# SrLaTlIn (PBE-GGA, optimized geometry)
data_SrLaTlIn
_chemical_formula_sum 'Sr1 La1 Tl1 In1'
_space_group_name_H-M_alt 'P 4 m m'
_space_group_IT_number 99
_cell_length_a 3.9848
_cell_length_b 3.9848
_cell_length_c 8.2086
_cell_angle_alpha 90.00
_cell_angle_beta 90.00
_cell_angle_gamma 90.00
loop_
_space_group_symop_operation_xyz
'x,y,z'
'-y,x,z'
'-x,-y,z'
'y,-x,z'
'-x,y,z'
'y,x,z'
'x,-y,z'
'-y,-x,z'
loop_
_atom_site_label
_atom_site_fract_x
_atom_site_fract_y
_atom_site_fract_z
Sr1 0.0000 0.0000 0.0000
La1 0.0000 0.0000 0.4961
Tl1 0.5000 0.5000 0.7416
In1 0.5000 0.5000 0.2567
# Total moment in μB per cell: 0.000
# D(E_F) in states/eV per cell: 2.32

(two)
# SrLaTlIn (PBE-GGA, optimized geometry)
data_SrLaTlIn
_chemical_formula_sum 'Sr4 La4 Tl4 In4'
_space_group_name_H-M_alt 'F -4 3 m'
_space_group_IT_number 216
_space_group_name_Hall 'F -4 2 3'
_cell_length_a 8.0505
_cell_length_b 8.0505
_cell_length_c 8.0505
_cell_angle_alpha 90.00
_cell_angle_beta 90.00
_cell_angle_gamma 90.00
loop_
_atom_site_label
_atom_site_fract_x
_atom_site_fract_y
_atom_site_fract_z
Sr1 0.0000 0.0000 0.0000
La1 0.0000 0.0000 0.5000
Tl1 0.2500 0.2500 0.2500
In1 0.2500 0.2500 0.7500
# Total moment in μB per cell: 0.000
# D(E_F) in states/eV per cell: 14.72

Unit: meV/atom. Relative energies: (one) 0; (two) 24.

(one)
# La6TbIn (PBE-GGA, optimized geometry)
data_La6TbIn
_chemical_formula_sum 'La6 Tb1 In1'
_space_group_name_H-M_alt 'P 4/m m m'
_space_group_IT_number 123
_space_group_name_Hall '-P 4 2'
_cell_length_a 5.1216
_cell_length_b 5.1216
_cell_length_c 10.3948
_cell_angle_alpha 90.00
_cell_angle_beta 90.00
_cell_angle_gamma 90.00
loop_
_atom_site_label
_atom_site_fract_x
_atom_site_fract_y
_atom_site_fract_z
La1 0.0000 0.0000 0.0000
La2 0.0000 0.0000 0.5000
La3 0.0000 0.5000 0.2447
Tb1 0.5000 0.5000 0.5000
In1 0.5000 0.5000 0.0000
# Total moment in μB per cell: 0.000
# D(E_F) in states/eV per cell: 10.20

(two)
# La6TbIn (PBE-GGA, optimized geometry)
data_La6TbIn
_chemical_formula_sum 'La12 Tb2 In2'
_space_group_name_H-M_alt 'C 1 2/m 1'
_space_group_IT_number 12
_cell_length_a 7.3119
_cell_length_b 12.7290
_cell_length_c 6.9539
_cell_angle_alpha 90.00
_cell_angle_beta 119.65
_cell_angle_gamma 90.00
loop_
_space_group_symop_operation_xyz
'x,y,z'
'-x,-y,-z'
'-x,y,-z'
'x,-y,z'
'x+1/2,y+1/2,z'
'-x+1/2,-y+1/2,-z'
'-x+1/2,y+1/2,-z'
'x+1/2,-y+1/2,z'
loop_
_atom_site_label
_atom_site_fract_x
_atom_site_fract_y
_atom_site_fract_z
La1 0.0106 0.0000 0.2582
La2 0.0207 0.2729 0.7411
Tb1 0.0000 0.5000 0.0000
In1 0.0000 0.5000 0.5000
# Total moment in μB per cell: 0.766
# D(E_F) in states/eV per cell: 27.60

Unit: meV/atom. Relative energies: (one) 0; (two) 262.